# PBE-GGA Ba4ZrTe, relaxed
# Raw formation energy, eV per atom: 0.441
data_Ba4ZrTe
_chemical_formula_sum 'Ba16 Zr4 Te4'
_space_group_name_H-M_alt 'F -4 3 m'
_space_group_IT_number 216
_space_group_name_Hall 'F -4 2 3'
_cell_length_a 10.219
_cell_length_b 10.219
_cell_length_c 10.219
_cell_angle_alpha 90.00
_cell_angle_beta 90.00
_cell_angle_gamma 90.00
loop_
_atom_site_label
_atom_site_fract_x
_atom_site_fract_y
_atom_site_fract_z
Ba1 0.125 0.125 0.125
Zr1 0.000 0.000 0.500
Te1 0.250 0.250 0.750